Entry from the Alexandria database: a relaxed MgRuPt2 crystal (PBE-GGA).

Cell and atoms, written as CIF:
```
data_MgRuPt2
_chemical_formula_sum 'Mg1 Ru1 Pt2'
_cell_length_a 2.791
_cell_length_b 2.791
_cell_length_c 7.951
_cell_angle_alpha 90.00
_cell_angle_beta 90.00
_cell_angle_gamma 90.00
_symmetry_space_group_name_H-M 'P 4 m m'
_symmetry_Int_Tables_number 99
loop_
_symmetry_equiv_pos_as_xyz
'x,y,z'
'-y,x,z'
'-x,-y,z'
'y,-x,z'
'-x,y,z'
'y,x,z'
'x,-y,z'
'-y,-x,z'
loop_
_atom_site_label
_atom_site_type_symbol
_atom_site_fract_x
_atom_site_fract_y
_atom_site_fract_z
Mg1 Mg 0.000 0.000 0.000
Ru1 Ru 0.500 0.500 0.738
Pt1 Pt 0.000 0.000 0.509
Pt2 Pt 0.500 0.500 0.247
```

Summary:
Calculated density (g/cm3): 13.8
DOS at the Fermi energy (states/eV/atom): 1.028
Calculated formation energy (eV/atom): -0.19

***

Entry from the Alexandria database: a relaxed HoHfTa4 crystal (PBE-GGA).

Cell and atoms, written as CIF:
```
data_HoHfTa4
_chemical_formula_sum 'Ho4 Hf4 Ta16'
_cell_length_a 7.949
_cell_length_b 7.949
_cell_length_c 7.949
_cell_angle_alpha 90.00
_cell_angle_beta 90.00
_cell_angle_gamma 90.00
_symmetry_space_group_name_H-M 'F -4 3 m'
_symmetry_Int_Tables_number 216
_symmetry_space_group_name_Hall 'F -4 2 3'
loop_
_atom_site_label
_atom_site_type_symbol
_atom_site_fract_x
_atom_site_fract_y
_atom_site_fract_z
Ho1 Ho 0.000 0.000 0.000
Hf1 Hf 0.250 0.250 0.750
Ta1 Ta 0.125 0.125 0.375
```

Summary:
Calculated density (g/cm3): 14.1
DOS at the Fermi energy (states/eV/atom): 2.296
Calculated formation energy (eV/atom): 0.20

***

Entry from the Alexandria database: a relaxed CaCu3Re crystal (PBE-GGA).

Cell and atoms, written as CIF:
```
data_CaCu3Re
_chemical_formula_sum 'Ca1 Cu3 Re1'
_cell_length_a 4.719
_cell_length_b 4.719
_cell_length_c 4.719
_cell_angle_alpha 90.00
_cell_angle_beta 90.00
_cell_angle_gamma 90.00
_symmetry_space_group_name_H-M 'P m -3 m'
_symmetry_Int_Tables_number 221
_symmetry_space_group_name_Hall '-P 4 2 3'
loop_
_atom_site_label
_atom_site_type_symbol
_atom_site_fract_x
_atom_site_fract_y
_atom_site_fract_z
Ca1 Ca 0.000 0.000 0.000
Cu1 Cu 0.000 0.500 0.500
Re1 Re 0.500 0.500 0.500
```

Summary:
Calculated density (g/cm3): 6.6
DOS at the Fermi energy (states/eV/atom): 1.446
Calculated formation energy (eV/atom): 0.78

***

Entry from the Alexandria database: a relaxed HoTiOsRu crystal (PBE-GGA).

Cell and atoms, written as CIF:
```
data_HoTiOsRu
_chemical_formula_sum 'Ho4 Ti4 Os4 Ru4'
_cell_length_a 6.471
_cell_length_b 6.471
_cell_length_c 6.471
_cell_angle_alpha 90.00
_cell_angle_beta 90.00
_cell_angle_gamma 90.00
_symmetry_space_group_name_H-M 'F -4 3 m'
_symmetry_Int_Tables_number 216
_symmetry_space_group_name_Hall 'F -4 2 3'
loop_
_atom_site_label
_atom_site_type_symbol
_atom_site_fract_x
_atom_site_fract_y
_atom_site_fract_z
Ho1 Ho 0.000 0.000 0.000
Ti1 Ti 0.000 0.000 0.500
Os1 Os 0.250 0.250 0.250
Ru1 Ru 0.250 0.250 0.750
```

Summary:
Calculated density (g/cm3): 12.4
DOS at the Fermi energy (states/eV/atom): 0.782
Calculated formation energy (eV/atom): -0.36

***

Entry from the Alexandria database: a relaxed CeLuZrNb crystal (PBE-GGA).

Cell and atoms, written as CIF:
```
data_CeLuZrNb
_chemical_formula_sum 'Ce4 Lu4 Zr4 Nb4'
_cell_length_a 7.259
_cell_length_b 7.259
_cell_length_c 7.259
_cell_angle_alpha 90.00
_cell_angle_beta 90.00
_cell_angle_gamma 90.00
_symmetry_space_group_name_H-M 'F -4 3 m'
_symmetry_Int_Tables_number 216
_symmetry_space_group_name_Hall 'F -4 2 3'
loop_
_atom_site_label
_atom_site_type_symbol
_atom_site_fract_x
_atom_site_fract_y
_atom_site_fract_z
Ce1 Ce 0.000 0.000 0.000
Lu1 Lu 0.250 0.250 0.250
Zr1 Zr 0.000 0.000 0.500
Nb1 Nb 0.250 0.250 0.750
```

Summary:
Calculated density (g/cm3): 8.7
DOS at the Fermi energy (states/eV/atom): 2.247
Calculated formation energy (eV/atom): 0.23

***

Entry from the Alexandria database: a relaxed KBa2Fe crystal (PBE-GGA).

Cell and atoms, written as CIF:
```
data_KBa2Fe
_chemical_formula_sum 'K4 Ba8 Fe4'
_cell_length_a 8.417
_cell_length_b 8.417
_cell_length_c 8.417
_cell_angle_alpha 90.00
_cell_angle_beta 90.00
_cell_angle_gamma 90.00
_symmetry_space_group_name_H-M 'F m -3 m'
_symmetry_Int_Tables_number 225
_symmetry_space_group_name_Hall '-F 4 2 3'
loop_
_atom_site_label
_atom_site_type_symbol
_atom_site_fract_x
_atom_site_fract_y
_atom_site_fract_z
K1 K 0.000 0.000 0.000
Ba1 Ba 0.250 0.250 0.250
Fe1 Fe 0.000 0.000 0.500
```

Summary:
Calculated density (g/cm3): 4.1
DOS at the Fermi energy (states/eV/atom): 3.567
Calculated formation energy (eV/atom): 0.93

***

Entry from the Alexandria database: a relaxed PmTl5Br8 crystal (PBE-GGA).

Cell and atoms, written as CIF:
```
data_PmTl5Br8
_chemical_formula_sum 'Pm2 Tl10 Br16'
_cell_length_a 9.798
_cell_length_b 9.798
_cell_length_c 10.030
_cell_angle_alpha 90.00
_cell_angle_beta 90.00
_cell_angle_gamma 90.00
_symmetry_space_group_name_H-M 'I -4'
_symmetry_Int_Tables_number 82
loop_
_symmetry_equiv_pos_as_xyz
'x,y,z'
'y,-x,-z'
'-x,-y,z'
'-y,x,-z'
'x+1/2,y+1/2,z+1/2'
'y+1/2,-x+1/2,-z+1/2'
'-x+1/2,-y+1/2,z+1/2'
'-y+1/2,x+1/2,-z+1/2'
loop_
_atom_site_label
_atom_site_type_symbol
_atom_site_fract_x
_atom_site_fract_y
_atom_site_fract_z
Pm1 Pm 0.000 0.000 0.000
Tl1 Tl 0.000 0.500 0.250
Tl2 Tl 0.125 0.760 0.616
Br1 Br 0.064 0.831 0.263
Br2 Br 0.071 0.714 0.930
```

Summary:
E_tot (eV per atom): -3.28
Calculated density (g/cm3): 6.2
DOS at the Fermi energy (states/eV/atom): 0.000

***

Entry from the Alexandria database: a relaxed Tb3U2Se8 crystal (PBE-GGA).

Cell and atoms, written as CIF:
```
data_Tb3U2Se8
_chemical_formula_sum 'Tb6 U4 Se16'
_cell_length_a 14.703
_cell_length_b 8.192
_cell_length_c 6.953
_cell_angle_alpha 90.00
_cell_angle_beta 109.30
_cell_angle_gamma 90.00
_symmetry_space_group_name_H-M 'C 1 2/m 1'
_symmetry_Int_Tables_number 12
loop_
_symmetry_equiv_pos_as_xyz
'x,y,z'
'-x,-y,-z'
'-x,y,-z'
'x,-y,z'
'x+1/2,y+1/2,z'
'-x+1/2,-y+1/2,-z'
'-x+1/2,y+1/2,-z'
'x+1/2,-y+1/2,z'
loop_
_atom_site_label
_atom_site_type_symbol
_atom_site_fract_x
_atom_site_fract_y
_atom_site_fract_z
Tb1 Tb 0.000 0.000 0.000
Tb2 Tb 0.000 0.260 0.500
U1 U 0.242 0.500 0.167
Se1 Se 0.112 0.500 0.388
Se2 Se 0.118 0.000 0.423
Se3 Se 0.125 0.236 0.915
```

Summary:
E_tot (eV per atom): -6.43
Calculated density (g/cm3): 6.7
DOS at the Fermi energy (states/eV/atom): 0.804

***

Entry from the Alexandria database: a relaxed K2SiCl crystal (PBE-GGA).

Cell and atoms, written as CIF:
```
data_K2SiCl
_chemical_formula_sum 'K4 Si2 Cl2'
_cell_length_a 7.098
_cell_length_b 3.910
_cell_length_c 9.646
_cell_angle_alpha 90.00
_cell_angle_beta 102.75
_cell_angle_gamma 90.00
_symmetry_space_group_name_H-M 'C 1 2/m 1'
_symmetry_Int_Tables_number 12
loop_
_symmetry_equiv_pos_as_xyz
'x,y,z'
'-x,-y,-z'
'-x,y,-z'
'x,-y,z'
'x+1/2,y+1/2,z'
'-x+1/2,-y+1/2,-z'
'-x+1/2,y+1/2,-z'
'x+1/2,-y+1/2,z'
loop_
_atom_site_label
_atom_site_type_symbol
_atom_site_fract_x
_atom_site_fract_y
_atom_site_fract_z
K1 K 0.238 0.000 0.216
Si1 Si 0.000 0.000 0.500
Cl1 Cl 0.000 0.500 0.000
```

Summary:
E_tot (eV per atom): -2.84
Calculated density (g/cm3): 1.8
DOS at the Fermi energy (states/eV/atom): 0.403

***

Entry from the Alexandria database: a relaxed Cs2KCdGa crystal (PBE-GGA).

Cell and atoms, written as CIF:
```
data_Cs2KCdGa
_chemical_formula_sum 'Cs2 K1 Cd1 Ga1'
_cell_length_a 7.490
_cell_length_b 7.490
_cell_length_c 5.350
_cell_angle_alpha 90.00
_cell_angle_beta 90.00
_cell_angle_gamma 90.00
_symmetry_space_group_name_H-M 'P 4/m m m'
_symmetry_Int_Tables_number 123
_symmetry_space_group_name_Hall '-P 4 2'
loop_
_atom_site_label
_atom_site_type_symbol
_atom_site_fract_x
_atom_site_fract_y
_atom_site_fract_z
Cs1 Cs 0.000 0.500 0.000
K1 K 0.000 0.000 0.500
Cd1 Cd 0.500 0.500 0.500
Ga1 Ga 0.500 0.500 0.000
```

Summary:
Calculated density (g/cm3): 2.7
DOS at the Fermi energy (states/eV/atom): 0.958
Calculated formation energy (eV/atom): 0.11

***

Entry from the Alexandria database: a relaxed Cs2YB2Se6 crystal (PBE-GGA).

Cell and atoms, written as CIF:
```
data_Cs2YB2Se6
_chemical_formula_sum 'Cs4 Y2 B4 Se12'
_cell_length_a 12.353
_cell_length_b 7.129
_cell_length_c 9.230
_cell_angle_alpha 90.00
_cell_angle_beta 116.41
_cell_angle_gamma 90.00
_symmetry_space_group_name_H-M 'C 1 2/m 1'
_symmetry_Int_Tables_number 12
loop_
_symmetry_equiv_pos_as_xyz
'x,y,z'
'-x,-y,-z'
'-x,y,-z'
'x,-y,z'
'x+1/2,y+1/2,z'
'-x+1/2,-y+1/2,-z'
'-x+1/2,y+1/2,-z'
'x+1/2,-y+1/2,z'
loop_
_atom_site_label
_atom_site_type_symbol
_atom_site_fract_x
_atom_site_fract_y
_atom_site_fract_z
Cs1 Cs 0.211 0.000 0.134
Y1 Y 0.000 0.000 0.500
B1 B 0.097 0.500 0.293
Se1 Se 0.011 0.263 0.272
Se2 Se 0.249 0.500 0.274
```

Summary:
E_tot (eV per atom): -4.64
Calculated density (g/cm3): 3.9
DOS at the Fermi energy (states/eV/atom): 0.448

***

Entry from the Alexandria database: a relaxed ThSn6 crystal (PBE-GGA).

Cell and atoms, written as CIF:
```
data_ThSn6
_chemical_formula_sum 'Th2 Sn12'
_cell_length_a 8.013
_cell_length_b 8.013
_cell_length_c 8.013
_cell_angle_alpha 90.00
_cell_angle_beta 90.00
_cell_angle_gamma 90.00
_symmetry_space_group_name_H-M 'I m -3 m'
_symmetry_Int_Tables_number 229
_symmetry_space_group_name_Hall '-I 4 2 3'
loop_
_atom_site_label
_atom_site_type_symbol
_atom_site_fract_x
_atom_site_fract_y
_atom_site_fract_z
Th1 Th 0.000 0.000 0.000
Sn1 Sn 0.000 0.250 0.500
```

Summary:
Calculated density (g/cm3): 6.1
DOS at the Fermi energy (states/eV/atom): 1.492
Calculated formation energy (eV/atom): 0.59

***

Please write out number 6 again, unchanged.
Entry from the Alexandria database: a relaxed KBa2Fe crystal (PBE-GGA).

Cell and atoms, written as CIF:
```
data_KBa2Fe
_chemical_formula_sum 'K4 Ba8 Fe4'
_cell_length_a 8.417
_cell_length_b 8.417
_cell_length_c 8.417
_cell_angle_alpha 90.00
_cell_angle_beta 90.00
_cell_angle_gamma 90.00
_symmetry_space_group_name_H-M 'F m -3 m'
_symmetry_Int_Tables_number 225
_symmetry_space_group_name_Hall '-F 4 2 3'
loop_
_atom_site_label
_atom_site_type_symbol
_atom_site_fract_x
_atom_site_fract_y
_atom_site_fract_z
K1 K 0.000 0.000 0.000
Ba1 Ba 0.250 0.250 0.250
Fe1 Fe 0.000 0.000 0.500
```

Summary:
Calculated density (g/cm3): 4.1
DOS at the Fermi energy (states/eV/atom): 3.567
Calculated formation energy (eV/atom): 0.93